## BeZn2NiAu (PBE-GGA)

Data for a relaxed structure of BeZn2NiAu.

Results
- Final energy: -2.346 eV per atom
- Total magnetic moment: 0.0 Bohr magnetons per cell

Cell: 4.4353 4.4353 4.8443 Å, 90.00 90.00 90.00°
Space group P4/mmm (No. 123)
Unique sites:
Be: 0.0000 0.0000 0.0000 [1 per cell]
Zn: 0.0000 0.5000 0.5000 [2 per cell]
Ni: 0.5000 0.5000 0.5000 [1 per cell]
Au: 0.5000 0.5000 0.0000 [1 per cell]

## NpBeAu3 (PBE-GGA)

Data for a relaxed structure of NpBeAu3.

Results
- Total magnetic moment: 4.4 Bohr magnetons per cell
- Polymorph energy (0 for the lowest one): 0.35 eV per formula unit

Cell: 4.6188 4.6188 4.6188 Å, 90.00 90.00 90.00°
Space group Pm-3m (No. 221)
Unique sites:
Np: 0.0000 0.0000 0.0000 [1 per cell]
Be: 0.5000 0.5000 0.5000 [1 per cell]
Au: 0.0000 0.5000 0.5000 [3 per cell]

## NpBeAu3 (PBE-GGA)

Data for a relaxed structure of NpBeAu3.

Results
- Total magnetic moment: 8.7 Bohr magnetons per cell
- Polymorph energy (0 for the lowest one): 0.00 eV per formula unit

Cell: 6.0103 6.0103 5.3373 Å, 90.00 90.00 90.00°
Space group P4/nmm (No. 129, origin choice 2)
Unique sites:
Np: 0.2500 0.7500 0.0000 [2 per cell]
Be: 0.2500 0.2500 0.2848 [2 per cell]
Au: 0.0000 0.0000 0.5000 [4 per cell]
Au: 0.2500 0.2500 0.8608 [2 per cell]

## NpBeAu (PBE-GGA)

Data for a relaxed structure of NpBeAu.

Results
- Final energy: -6.707 eV per atom
- Total magnetic moment: 6.5 Bohr magnetons per cell

Cell: 7.4897 3.5561 7.4351 Å, 90.00 90.00 90.00°
Space group Pnma (No. 62)
Unique sites:
Np: 0.0097 0.2500 0.1128 [4 per cell]
Be: 0.2028 0.7500 0.3639 [4 per cell]
Au: 0.1342 0.2500 0.5767 [4 per cell]

## NpBe5Au7 (PBE-GGA)

Data for a relaxed structure of NpBe5Au7.

Results
- Final energy: -4.310 eV per atom
- Total magnetic moment: 8.0 Bohr magnetons per cell

Cell: 5.0374 8.8729 8.8957 Å, 90.00 90.00 90.00°
Space group Imm2 (No. 44)
Unique sites:
Np: 0.0000 0.0000 0.0000 [2 per cell]
Be: 0.0000 0.5000 0.2605 [2 per cell]
Be: 0.2442 0.2461 0.7356 [8 per cell]
Au: 0.0000 0.0000 0.3432 [2 per cell]
Au: 0.0000 0.0000 0.6718 [2 per cell]
Au: 0.0000 0.3056 0.4614 [4 per cell]
Au: 0.0000 0.3405 0.0197 [4 per cell]
Au: 0.0000 0.5000 0.7183 [2 per cell]

## NpBeAuO6 (PBE-GGA)

Data for a relaxed structure of NpBeAuO6.

Results
- Total magnetic moment: 0.0 Bohr magnetons per cell
- Formation energy without anion corrections: -1.71 eV per atom

Cell: 4.5956 5.0136 5.5958 Å, 102.17 107.12 95.12°
Space group P1 (No. 1)
Unique sites:
Np: 0.0000 0.0000 0.0000 [1 per cell]
Be: 0.3083 0.0239 0.5456 [1 per cell]
Au: 0.6723 0.5506 0.3619 [1 per cell]
O: 0.1786 0.7003 0.9197 [1 per cell]
O: 0.1929 0.1612 0.7830 [1 per cell]
O: 0.3820 0.2216 0.3607 [1 per cell]
O: 0.5752 0.8288 0.6355 [1 per cell]
O: 0.7829 0.2992 0.0781 [1 per cell]
O: 0.9591 0.8529 0.3209 [1 per cell]

## Be3AuO (PBE-GGA)

Data for a relaxed structure of Be3AuO.

Results
- Total magnetic moment: 0.0 Bohr magnetons per cell
- Polymorph energy (0 for the lowest one): 7.44 eV per formula unit
- Formation energy without anion corrections: 0.89 eV per atom

Cell: 4.3187 4.3187 4.3187 Å, 90.00 90.00 90.00°
Space group Pm-3m (No. 221)
Unique sites:
Be: 0.0000 0.0000 0.5000 [3 per cell]
Au: 0.0000 0.0000 0.0000 [1 per cell]
O: 0.5000 0.5000 0.5000 [1 per cell]

## BeAuO (PBE-GGA)

Data for a relaxed structure of BeAuO.

Results
- Total magnetic moment: 0.0 Bohr magnetons per cell
- Formation energy without anion corrections: -1.64 eV per atom

Cell: 2.7145 2.7145 7.4658 Å, 84.54 88.98 60.00°
Space group P1 (No. 1)
Unique sites:
Be: 0.0000 0.0000 0.0000 [1 per cell]
Au: 0.8924 0.8533 0.4995 [1 per cell]
O: 0.6666 0.6667 0.9999 [1 per cell]